Below is InPbNF2 after structural relaxation, with properties calculated at the PBE level.

## Properties
E above lowest polymorph = 0.0000 eV/atom
raw formation energy = -0.9509 eV per atom
SG = P4/mmm, No. 123
energy = -23.3 eV/cell

Geometry as POSCAR:
```
InPbNF2
1.0
4.377 0.000 0.000
0.000 4.377 0.000
0.000 0.000 4.210
In Pb N F
1 1 1 2
direct
0.000 0.000 0.000
0.500 0.500 0.500
0.000 0.000 0.500
0.000 0.500 0.000
0.500 0.000 0.000
```